# 1
Below is CrCoTc2 after structural relaxation, with properties calculated at the PBEsol level.

Cell: 3.6837 3.6837 3.6143 Å, 90.00 90.00 90.00°
Space group P4/mmm (No. 123)
One atom of each set of equivalent atoms:
Cr 0.0000 0.0000 0.0000 (multiplicity 1)
Co 0.5000 0.5000 0.0000 (multiplicity 1)
Tc 0.0000 0.5000 0.5000 (multiplicity 2)

## Properties
E = -40.32 eV for the cell shown
Fermi-level density of states = 0.9310 states/eV/atom
Formation energy = 48 meV/atom


# 2
Below is SbPCCl2 after structural relaxation, with properties calculated at the PBEsol level.

Cell: 4.2629 4.2629 4.4536 Å, 90.00 90.00 90.00°
Space group P4/mmm (No. 123)
One atom of each set of equivalent atoms:
Sb 0.0000 0.0000 0.0000 (multiplicity 1)
P 0.5000 0.5000 0.0000 (multiplicity 1)
C 0.5000 0.5000 0.5000 (multiplicity 1)
Cl 0.0000 0.5000 0.5000 (multiplicity 2)

## Properties
E = -19.51 eV for the cell shown
Fermi-level density of states = 0.3323 states/eV/atom
Formation energy without anion corrections = 0.901 eV per atom


# 3
Below is LiMgAl4 after structural relaxation, with properties calculated at the PBEsol level.

Cell: 7.6026 7.6026 7.6026 Å, 90.00 90.00 90.00°
Space group F-43m (No. 216)
One atom of each set of equivalent atoms:
Li 0.0000 0.0000 0.0000 (multiplicity 4)
Mg 0.2500 0.2500 0.2500 (multiplicity 4)
Al 0.1252 0.1252 0.6252 (multiplicity 16)

## Properties
E = -80.31 eV for the cell shown
Fermi-level density of states = 0.4893 states/eV/atom
Formation energy = -5 meV/atom


# 4
Below is Cs2MnI2 after structural relaxation, with properties calculated at the PBEsol level.

Cell: 7.1289 7.1289 12.2311 Å, 90.00 90.00 90.00°
Space group I4/mmm (No. 139)
One atom of each set of equivalent atoms:
Cs 0.0000 0.0000 0.1797 (multiplicity 4)
Mn 0.0000 0.0000 0.5000 (multiplicity 2)
I 0.0000 0.5000 0.2500 (multiplicity 4)

## Properties
E = -32.60 eV for the cell shown
Formation energy without anion corrections = -0.224 eV per atom


# 5
Below is Mn3B4Mo3 after structural relaxation, with properties calculated at the PBEsol level.

Cell: 3.1082 8.0320 7.9020 Å, 90.00 90.00 90.00°
Space group Amm2 (No. 38)
One atom of each set of equivalent atoms:
Mn 0.0000 0.0000 0.0000 (multiplicity 2)
Mn 0.5000 0.2476 0.0710 (multiplicity 4)
B 0.5000 0.0000 0.1959 (multiplicity 2)
B 0.5000 0.0000 0.4356 (multiplicity 2)
B 0.5000 0.1122 0.8330 (multiplicity 4)
Mo 0.0000 0.0000 0.6485 (multiplicity 2)
Mo 0.0000 0.1777 0.3187 (multiplicity 4)

## Properties
E = -194.66 eV for the cell shown
Fermi-level density of states = 0.6358 states/eV/atom
Formation energy = -468 meV/atom


# 6
Below is Be2TlSe after structural relaxation, with properties calculated at the PBEsol level.

Cell: 10.9094 3.5144 4.0963 Å, 90.00 101.70 90.00°
Space group Cm (No. 8)
One atom of each set of equivalent atoms:
Be 0.0000 0.0000 0.0000 (multiplicity 2)
Be 0.1201 0.5000 0.1062 (multiplicity 2)
Tl 0.1572 0.0000 0.6113 (multiplicity 2)
Se 0.4029 0.0000 0.1009 (multiplicity 2)

## Properties
E = -27.18 eV for the cell shown
Fermi-level density of states = 0.1994 states/eV/atom
Formation energy without anion corrections = 0.223 eV per atom
Offset from the most stable computed form = 0 meV/atom


# 7
Below is LaHg5 after structural relaxation, with properties calculated at the PBEsol level.

Cell: 8.8807 4.9647 6.6196 Å, 90.00 98.10 90.00°
Space group C2/m (No. 12)
One atom of each set of equivalent atoms:
La 0.0000 0.0000 0.0000 (multiplicity 2)
Hg 0.0000 0.0000 0.5000 (multiplicity 2)
Hg 0.1456 0.5000 0.7500 (multiplicity 4)
Hg 0.1832 0.5000 0.2562 (multiplicity 4)

## Properties
E = -20.65 eV for the cell shown
Fermi-level density of states = 0.5321 states/eV/atom
Formation energy = -358 meV/atom


# 8
Below is CoRe2Tc after structural relaxation, with properties calculated at the PBEsol level.

Cell: 2.6768 3.7490 5.3371 Å, 90.00 90.00 90.00°
Space group Pmm2 (No. 25)
One atom of each set of equivalent atoms:
Co 0.0000 0.0000 0.0000 (multiplicity 1)
Re 0.0000 0.0000 0.5021 (multiplicity 1)
Re 0.5000 0.5000 0.2314 (multiplicity 1)
Tc 0.5000 0.5000 0.7609 (multiplicity 1)

## Properties
E = -45.38 eV for the cell shown
Fermi-level density of states = 1.1172 states/eV/atom
Formation energy = 72 meV/atom
Offset from the most stable computed form = 64 meV/atom


# 9
Below is HfMg3Se after structural relaxation, with properties calculated at the PBEsol level.

Cell: 4.9655 4.9655 4.9655 Å, 90.00 90.00 90.00°
Space group Pm-3m (No. 221)
One atom of each set of equivalent atoms:
Hf 0.0000 0.0000 0.0000 (multiplicity 1)
Mg 0.0000 0.5000 0.5000 (multiplicity 3)
Se 0.5000 0.5000 0.5000 (multiplicity 1)

## Properties
E = -17.34 eV for the cell shown
Fermi-level density of states = 1.1820 states/eV/atom
Formation energy without anion corrections = 0.434 eV per atom


# 10
Below is TaNiW2 after structural relaxation, with properties calculated at the PBEsol level.

Cell: 2.6750 3.9011 5.7833 Å, 90.00 90.00 90.00°
Space group Pmm2 (No. 25)
One atom of each set of equivalent atoms:
Ta 0.0000 0.0000 0.0000 (multiplicity 1)
Ni 0.5000 0.5000 0.7623 (multiplicity 1)
W 0.0000 0.0000 0.5255 (multiplicity 1)
W 0.5000 0.5000 0.2740 (multiplicity 1)

## Properties
E = -45.45 eV for the cell shown
Fermi-level density of states = 0.8072 states/eV/atom
Formation energy = 217 meV/atom


# 11
Below is Ca5Si2N6 after structural relaxation, with properties calculated at the PBEsol level.

Cell: 9.7596 6.0015 12.6540 Å, 90.00 100.28 90.00°
Space group C2/c (No. 15)
One atom of each set of equivalent atoms:
Ca 0.0000 0.1204 0.2500 (multiplicity 4)
Ca 0.0649 0.2403 0.9991 (multiplicity 8)
Ca 0.1537 0.4124 0.7166 (multiplicity 8)
Si 0.2231 0.3706 0.4238 (multiplicity 8)
N 0.0570 0.4573 0.3722 (multiplicity 8)
N 0.1503 0.0404 0.6480 (multiplicity 8)
N 0.2241 0.0671 0.4369 (multiplicity 8)

## Properties
E = -360.59 eV for the cell shown
Fermi-level density of states = 0.0000 states/eV/atom
Formation energy without anion corrections = -1.295 eV per atom


# 12
Below is Hg2TeMo after structural relaxation, with properties calculated at the PBEsol level.

Cell: 3.0546 4.3819 13.3912 Å, 90.00 90.00 90.00°
Space group Immm (No. 71)
One atom of each set of equivalent atoms:
Hg 0.0000 0.0000 0.1922 (multiplicity 4)
Te 0.0000 0.5000 0.0000 (multiplicity 2)
Mo 0.0000 0.5000 0.5000 (multiplicity 2)

## Properties
E = -29.45 eV for the cell shown
Fermi-level density of states = 0.7000 states/eV/atom
Formation energy without anion corrections = 0.426 eV per atom


# 13
Below is ZrInCu2 after structural relaxation, with properties calculated at the PBEsol level.

Cell: 4.5329 4.5329 6.3715 Å, 90.00 90.00 90.00°
Space group I-4m2 (No. 119)
One atom of each set of equivalent atoms:
Zr 0.0000 0.0000 0.0000 (multiplicity 2)
In 0.0000 0.5000 0.7500 (multiplicity 2)
Cu 0.0000 0.0000 0.5000 (multiplicity 2)
Cu 0.0000 0.5000 0.2500 (multiplicity 2)

## Properties
E = -41.76 eV for the cell shown
Fermi-level density of states = 0.4035 states/eV/atom
Formation energy = -34 meV/atom


# 14
Below is Tl2CdPd2 after structural relaxation, with properties calculated at the PBEsol level.

Cell: 7.3190 7.3190 3.6184 Å, 90.00 90.00 90.00°
Space group P4/mbm (No. 127)
One atom of each set of equivalent atoms:
Tl 0.1589 0.3411 0.0000 (multiplicity 4)
Cd 0.0000 0.0000 0.5000 (multiplicity 2)
Pd 0.1418 0.6418 0.5000 (multiplicity 4)

## Properties
E = -38.43 eV for the cell shown
Fermi-level density of states = 0.3181 states/eV/atom
Formation energy = -169 meV/atom


# 15
Below is SrCd2H16Br6O8 after structural relaxation, with properties calculated at the PBEsol level.

Cell: 4.0813 24.2781 8.6494 Å, 90.00 90.00 90.00°
Space group P2_12_12 (No. 18)
One atom of each set of equivalent atoms:
Sr 0.0000 0.0000 0.1939 (multiplicity 2)
Cd 0.0415 0.6980 0.3530 (multiplicity 4)
H 0.0024 0.4004 0.7445 (multiplicity 4)
H 0.0089 0.4681 0.0835 (multiplicity 4)
H 0.0149 0.0923 0.9059 (multiplicity 4)
H 0.0191 0.6864 0.8688 (multiplicity 4)
H 0.0341 0.4360 0.5885 (multiplicity 4)
H 0.1035 0.0274 0.5586 (multiplicity 4)
H 0.2103 0.8828 0.0440 (multiplicity 4)
H 0.2209 0.6317 0.9289 (multiplicity 4)
Br 0.0409 0.7804 0.8480 (multiplicity 4)
Br 0.0422 0.8126 0.4283 (multiplicity 4)
Br 0.0592 0.5863 0.3027 (multiplicity 4)
O 0.0000 0.0000 0.4893 (multiplicity 2)
O 0.0000 0.5000 0.0114 (multiplicity 2)
O 0.0052 0.4391 0.7014 (multiplicity 4)
O 0.0092 0.6458 0.8809 (multiplicity 4)
O 0.0138 0.9078 0.0195 (multiplicity 4)

## Properties
E = -294.51 eV for the cell shown
Fermi-level density of states = 0.0000 states/eV/atom


# 16
Below is Sr2AlV11O22 after structural relaxation, with properties calculated at the PBEsol level.

Cell: 5.7045 5.7045 13.0451 Å, 90.00 90.00 120.00°
Space group P-6m2 (No. 187)
One atom of each set of equivalent atoms:
Sr 0.0000 0.0000 0.0000 (multiplicity 1)
Sr 0.3333 0.6667 0.5000 (multiplicity 1)
Al 0.0000 0.0000 0.5000 (multiplicity 1)
V 0.1706 0.3411 0.2494 (multiplicity 6)
V 0.3333 0.6667 0.0000 (multiplicity 1)
V 0.6667 0.3333 0.1028 (multiplicity 2)
V 0.6667 0.3333 0.3998 (multiplicity 2)
O 0.0000 0.0000 0.3352 (multiplicity 2)
O 0.0060 0.5030 0.3318 (multiplicity 6)
O 0.3218 0.1609 0.1684 (multiplicity 6)
O 0.3333 0.6667 0.1576 (multiplicity 2)
O 0.3556 0.1778 0.5000 (multiplicity 3)
O 0.5157 0.0315 0.0000 (multiplicity 3)

## Properties
E = -319.67 eV for the cell shown
Fermi-level density of states = 0.6519 states/eV/atom
Formation energy without anion corrections = -2.512 eV per atom


# 17
Below is Zr4Ru after structural relaxation, with properties calculated at the PBEsol level.

Cell: 7.7949 7.7949 3.2642 Å, 90.00 90.00 90.00°
Space group I4/m (No. 87)
One atom of each set of equivalent atoms:
Zr 0.0860 0.7216 0.0000 (multiplicity 8)
Ru 0.0000 0.0000 0.5000 (multiplicity 2)

## Properties
E = -95.54 eV for the cell shown
Fermi-level density of states = 1.0374 states/eV/atom
Formation energy = -248 meV/atom


# 18
Below is Ba2CaI6 after structural relaxation, with properties calculated at the PBEsol level.

Cell: 8.4116 8.4116 6.9438 Å, 90.00 90.00 120.00°
Space group P-31m (No. 162)
One atom of each set of equivalent atoms:
Ba 0.3333 0.6667 0.0000 (multiplicity 2)
Ca 0.0000 0.0000 0.5000 (multiplicity 1)
I 0.0000 0.3174 0.2648 (multiplicity 6)

## Properties
E = -31.72 eV for the cell shown
Fermi-level density of states = 0.0000 states/eV/atom
Formation energy without anion corrections = -1.632 eV per atom


# 19
Below is ZrInAg2 after structural relaxation, with properties calculated at the PBEsol level.

Cell: 3.0385 3.0385 28.9600 Å, 90.00 90.00 120.00°
Space group R3m (No. 160, hexagonal axes)
One atom of each set of equivalent atoms:
Zr 0.0000 0.0000 0.0000 (multiplicity 3)
In 0.0000 0.0000 0.2433 (multiplicity 3)
Ag 0.0000 0.0000 0.4954 (multiplicity 3)
Ag 0.0000 0.0000 0.7504 (multiplicity 3)

## Properties
E = -55.96 eV for the cell shown
Fermi-level density of states = 0.7403 states/eV/atom
Formation energy = 11 meV/atom


# 20
Below is Re3GeB after structural relaxation, with properties calculated at the PBEsol level.

Cell: 4.0903 4.0903 4.0903 Å, 90.00 90.00 90.00°
Space group Pm-3m (No. 221)
One atom of each set of equivalent atoms:
Re 0.0000 0.0000 0.5000 (multiplicity 3)
Ge 0.5000 0.5000 0.5000 (multiplicity 1)
B 0.0000 0.0000 0.0000 (multiplicity 1)

## Properties
E = -49.28 eV for the cell shown
Fermi-level density of states = 0.9156 states/eV/atom
Formation energy = 534 meV/atom